Here is crystalline BaPd12Pb6 at its relaxed geometry from the Alexandria database. Energies are from PBE.

DOS(E_F), states/eV per atom: 0.5134
Spin magnetization, μB/f.u.: 0.00
Symmetry: R-3m (166)
E_tot, eV for the cell shown: -90.25

Cell lengths 7.7147, 7.7147, 7.7147 Å; angles 104.35, 104.35, 104.35 degrees
Last column: nearest neighbours and their distance in Å.
Fractional coordinates of all 19 atoms:
Ba 0.0000 0.0000 0.0000  6 Pd 3.34
Pd 0.1129 0.5000 0.8871  4 Pb 2.72-2.79, 3 Pd 2.75-2.91
Pd 0.1129 0.8871 0.5000  4 Pb 2.72-2.79, 3 Pd 2.75-2.91
Pd 0.1290 0.3820 0.3820  4 Pb 2.83-3.05, 4 Pd 2.91-3.08
Pd 0.3820 0.1290 0.3820  4 Pb 2.83-3.05, 4 Pd 2.91-3.08
Pd 0.3820 0.3820 0.1290  4 Pb 2.83-3.05, 4 Pd 2.91-3.08
Pd 0.5000 0.1129 0.8871  4 Pb 2.72-2.79, 3 Pd 2.75-2.91
Pd 0.5000 0.8871 0.1129  4 Pb 2.72-2.79, 3 Pd 2.75-2.91
Pd 0.6180 0.6180 0.8710  4 Pb 2.83-3.05, 4 Pd 2.91-3.08
Pd 0.6180 0.8710 0.6180  4 Pb 2.83-3.05, 4 Pd 2.91-3.08
Pd 0.8710 0.6180 0.6180  4 Pb 2.83-3.05, 4 Pd 2.91-3.08
Pd 0.8871 0.1129 0.5000  4 Pb 2.72-2.79, 3 Pd 2.75-2.91
Pd 0.8871 0.5000 0.1129  4 Pb 2.72-2.79, 3 Pd 2.75-2.91
Pb 0.2746 0.2746 0.6989  7 Pd 2.72-2.97
Pb 0.2746 0.6989 0.2746  7 Pd 2.72-2.97
Pb 0.3011 0.7254 0.7254  7 Pd 2.72-2.97
Pb 0.6989 0.2746 0.2746  7 Pd 2.72-2.97
Pb 0.7254 0.3011 0.7254  7 Pd 2.72-2.97
Pb 0.7254 0.7254 0.3011  7 Pd 2.72-2.97

---

Here is crystalline Mg6CdHg10 at its relaxed geometry from the Alexandria database. Energies are from PBE.

DOS(E_F), states/eV per atom: 0.1472
Spin magnetization, μB/f.u.: 0.00
Symmetry: P-31m (162)
E_tot, eV for the cell shown: -15.67

Cell lengths 8.6381, 8.6381, 5.9956 Å; angles 90.00, 90.00, 120.00 degrees
Last column: nearest neighbours and their distance in Å.
Fractional coordinates of all 17 atoms:
Mg 0.0000 0.3641 0.3119  7 Hg 2.96-3.16, 1 Mg 3.26
Mg 0.0000 0.6359 0.6881  7 Hg 2.96-3.16, 1 Mg 3.26
Mg 0.3641 0.0000 0.3119  7 Hg 2.96-3.16, 1 Mg 3.26
Mg 0.3641 0.3641 0.6881  7 Hg 2.96-3.16, 1 Mg 3.26
Mg 0.6359 0.0000 0.6881  7 Hg 2.96-3.16, 1 Mg 3.26
Mg 0.6359 0.6359 0.3119  7 Hg 2.96-3.16, 1 Mg 3.26
Cd 0.0000 0.0000 0.5000  6 Hg 3.08, 6 Mg 3.34
Hg 0.0000 0.2813 0.8168  5 Mg 2.96-3.16, 1 Cd 3.08, 2 Hg 3.28
Hg 0.0000 0.7187 0.1832  5 Mg 2.96-3.16, 1 Cd 3.08, 2 Hg 3.28
Hg 0.2813 0.0000 0.8168  5 Mg 2.96-3.16, 1 Cd 3.08, 2 Hg 3.28
Hg 0.2813 0.2813 0.1832  5 Mg 2.96-3.16, 1 Cd 3.08, 2 Hg 3.28
Hg 0.3333 0.6667 0.0000  8 Hg 3.00-3.32, 6 Mg 3.33
Hg 0.3333 0.6667 0.5000  6 Mg 2.98, 2 Hg 3.00
Hg 0.6667 0.3333 0.0000  8 Hg 3.00-3.32, 6 Mg 3.33
Hg 0.6667 0.3333 0.5000  6 Mg 2.98, 2 Hg 3.00
Hg 0.7187 0.0000 0.1832  5 Mg 2.96-3.16, 1 Cd 3.08, 2 Hg 3.28
Hg 0.7187 0.7187 0.8168  5 Mg 2.96-3.16, 1 Cd 3.08, 2 Hg 3.28

---

Here is crystalline CuTc2Ag2 at its relaxed geometry from the Alexandria database. Energies are from PBE.

DOS(E_F), states/eV per atom: 0.9915
Spin magnetization, μB/f.u.: 0.00
Symmetry: I4/mmm (139)
E_tot, eV for the cell shown: -51.76

Cell lengths 3.6498, 3.6498, 13.2117 Å; angles 90.00, 90.00, 90.00 degrees
Last column: nearest neighbours and their distance in Å.
Fractional coordinates of all 10 atoms:
Cu 0.0000 0.0000 0.0000  8 Tc 2.80
Cu 0.5000 0.5000 0.5000  8 Tc 2.80
Tc 0.0000 0.0000 0.4179  1 Tc 2.17
Tc 0.0000 0.0000 0.5821  1 Tc 2.17
Tc 0.5000 0.5000 0.0821  1 Tc 2.17
Tc 0.5000 0.5000 0.9179  1 Tc 2.17
Ag 0.0000 0.5000 0.2500  4 Ag 2.58, 4 Tc 2.87
Ag 0.0000 0.5000 0.7500  4 Ag 2.58, 4 Tc 2.87
Ag 0.5000 0.0000 0.2500  4 Ag 2.58, 4 Tc 2.87
Ag 0.5000 0.0000 0.7500  4 Ag 2.58, 4 Tc 2.87